No. 1
Here is crystalline Ho4SI5 at its relaxed geometry from Alexandria. Energies are from PBE-GGA.

Summary:
Crystal system: monoclinic
Space-group type: C2/m (12)
Uncorrected formation energy in eV/f.u.: -12.9

abc: 9.6600 9.6600 8.6814
angles: 103.29 103.29 24.15
Closest atoms and distances in Å follow each position.
Positions (direct):
Ho1 0.0024 0.0024 0.2992  2 S 2.68
Ho2 0.3598 0.3598 0.4364  1 S 2.58
Ho3 0.6402 0.6402 0.5636  1 S 2.58
Ho4 0.9976 0.9976 0.7008  2 S 2.68
S1 0.5000 0.5000 0.5000  6 Ho 2.58-2.68
I1 0.1624 0.1624 0.8347  3 Ho 3.05-3.06
I2 0.1728 0.1728 0.3206  4 Ho 3.09-3.44
I3 0.5000 0.5000 0.0000  4 Ho 3.28
I4 0.8272 0.8272 0.6794  4 Ho 3.09-3.44
I5 0.8376 0.8376 0.1653  3 Ho 3.05-3.06

---

No. 2
Here is crystalline Cs2NaTl5Cd2 at its relaxed geometry from Alexandria. Energies are from PBE-GGA.

Summary:
Crystal system: tetragonal
Space-group type: P4/mbm (127)
ΔE_f in eV per atom: -0.02

abc: 12.7003 12.7003 4.3875
angles: 90.00 90.00 90.00
Closest atoms and distances in Å follow each position.
Positions (direct):
Cs1 0.1774 0.3226 0.0000  3 Cd 3.57-3.89, 2 Tl 3.87
Cs2 0.3226 0.8226 0.0000  3 Cd 3.57-3.89, 2 Tl 3.87
Cs3 0.6774 0.1774 0.0000  3 Cd 3.57-3.89, 2 Tl 3.87
Cs4 0.8226 0.6774 0.0000  3 Cd 3.57-3.89, 2 Tl 3.87
Na1 0.0000 0.0000 0.0000  8 Tl 3.38
Na2 0.5000 0.5000 0.0000  8 Tl 3.38
Tl1 0.0000 0.5000 0.5000  4 Cd 3.13
Tl2 0.0581 0.8063 0.5000  2 Cd 3.30, 2 Na 3.38, 2 Tl 3.63
Tl3 0.1937 0.0581 0.5000  2 Cd 3.30, 2 Na 3.38, 2 Tl 3.63
Tl4 0.3063 0.5581 0.5000  2 Cd 3.30, 2 Na 3.38, 2 Tl 3.63
Tl5 0.4419 0.3063 0.5000  2 Cd 3.30, 2 Na 3.38, 2 Tl 3.63
Tl6 0.5000 0.0000 0.5000  4 Cd 3.13
Tl7 0.5581 0.6937 0.5000  2 Cd 3.30, 2 Na 3.38, 2 Tl 3.63
Tl8 0.6937 0.4419 0.5000  2 Cd 3.30, 2 Na 3.38, 2 Tl 3.63
Tl9 0.8063 0.9419 0.5000  2 Cd 3.30, 2 Na 3.38, 2 Tl 3.63
Tl10 0.9419 0.1937 0.5000  2 Cd 3.30, 2 Na 3.38, 2 Tl 3.63
Cd1 0.1239 0.6239 0.0000  6 Tl 3.13-3.30
Cd2 0.3761 0.1239 0.0000  6 Tl 3.13-3.30
Cd3 0.6239 0.8761 0.0000  6 Tl 3.13-3.30
Cd4 0.8761 0.3761 0.0000  6 Tl 3.13-3.30

---

No. 3
Here is crystalline Ca2CuAg2 at its relaxed geometry from Alexandria. Energies are from PBE-GGA.

Summary:
Crystal system: tetragonal
Space-group type: I4/mmm (139)
ΔE_f in eV per atom: -0.05

abc: 3.8310 3.8310 17.0358
angles: 90.00 90.00 90.00
Closest atoms and distances in Å follow each position.
Positions (direct):
Ca1 0.0000 0.0000 0.0999  4 Ag 3.20, 4 Cu 3.20, 1 Ca 3.40
Ca2 0.0000 0.0000 0.9001  4 Ag 3.20, 4 Cu 3.20, 1 Ca 3.40
Ca3 0.5000 0.5000 0.4001  4 Ag 3.20, 4 Cu 3.20, 1 Ca 3.40
Ca4 0.5000 0.5000 0.5999  4 Ag 3.20, 4 Cu 3.20, 1 Ca 3.40
Cu1 0.0000 0.0000 0.5000  8 Ca 3.20
Cu2 0.5000 0.5000 0.0000  8 Ca 3.20
Ag1 0.0000 0.5000 0.2500  4 Ag 2.71
Ag2 0.0000 0.5000 0.7500  4 Ag 2.71
Ag3 0.5000 0.0000 0.2500  4 Ag 2.71
Ag4 0.5000 0.0000 0.7500  4 Ag 2.71

---

No. 4
Here is crystalline K4Cu2Ge at its relaxed geometry from Alexandria. Energies are from PBE-GGA.

Summary:
Crystal system: tetragonal
Space-group type: I4/mmm (139)
ΔE_f in eV per atom: 0.46

abc: 6.4650 6.4650 15.4682
angles: 90.00 90.00 90.00
Closest atoms and distances in Å follow each position.
Positions (direct):
K1 0.0000 0.0000 0.2119  1 Cu 3.25, 1 Ge 3.28
K2 0.0000 0.0000 0.7881  1 Cu 3.25, 1 Ge 3.28
K3 0.0000 0.5000 0.0000  2 Ge 3.23, 4 Cu 3.45
K4 0.0000 0.5000 0.5000  2 Ge 3.23, 4 Cu 3.45
K5 0.5000 0.0000 0.0000  2 Ge 3.23, 4 Cu 3.45
K6 0.5000 0.0000 0.5000  2 Ge 3.23, 4 Cu 3.45
K7 0.5000 0.5000 0.2881  1 Cu 3.25, 1 Ge 3.28
K8 0.5000 0.5000 0.7119  1 Cu 3.25, 1 Ge 3.28
Cu1 0.0000 0.0000 0.4221  1 Cu 2.41
Cu2 0.0000 0.0000 0.5779  1 Cu 2.41
Cu3 0.5000 0.5000 0.0779  1 Cu 2.41
Cu4 0.5000 0.5000 0.9221  1 Cu 2.41
Ge1 0.0000 0.0000 0.0000  6 K 3.23-3.28
Ge2 0.5000 0.5000 0.5000  6 K 3.23-3.28

---

The evaluated E for the records listed, in turn: -43.1 -33.7 -28.1 -28.0 eV/cell.